A plane-wave DFT calculation with PBE+U was carried out for crystalline ZrCoO3 at its relaxed geometry.

Lattice parameters (Å, degrees): 5.3435 5.3435 14.5436 90.00 90.00 120.00
Space group R3c (No. 161, hexagonal axes)
Asymmetric unit:
Zr (0.0000, 0.0000, 0.0000)
Co (0.0000, 0.0000, 0.2884)
O (0.0318, 0.3606, 0.0633)

## Properties
Density of states at the Fermi level ... 0.000 states/eV per atom
Raw total energy ... -242.1 eV per cell
Crystal system ... trigonal